This record from Alexandria describes a geometry-optimized PmNdCdHg structure. The functional is GGA-PBE.

Results
Its space group is P4mm. As for the volume: 112.8 Å³/cell. Its total magnetization is 0.88 μB/f.u. As for the density of states at the Fermi level: 4.58 states/eV/cell.

Structure (POSCAR):
```
PmNdCdHg
1.0
3.8347 0.0000 0.0000
0.0000 3.8347 0.0000
0.0000 0.0000 7.6679
Pm Nd Cd Hg
1 1 1 1
direct
0.0000 0.0000 0.0000
0.0000 0.0000 0.5038
0.5000 0.5000 0.2486
0.5000 0.5000 0.7566
```

This record from Alexandria describes a geometry-optimized K2BaPbO4 structure. The functional is GGA-PBE.

Results
Its space group is Imma. As for the volume: 301.9 Å³/cell. Its total magnetization is 0.00 μB/f.u. Its formation energy (no corrections) is -1.499 eV per atom.

Structure (POSCAR):
```
K2BaPbO4
1.0
-3.6488 3.8229 5.4115
3.6488 -3.8229 5.4115
3.6488 3.8229 -5.4115
K Ba Pb O
4 2 2 8
direct
0.0000 0.0000 0.0000
0.5000 0.0000 0.0000
0.5000 0.0000 0.5000
0.5000 0.5000 0.5000
0.0000 0.5000 0.5000
0.5000 0.5000 0.0000
0.0000 0.0000 0.5000
0.0000 0.5000 0.0000
0.2008 0.2071 0.5063
0.2008 0.6944 0.9937
0.2069 0.7483 0.4585
0.2102 0.2517 0.9585
0.7898 0.7483 0.0415
0.7931 0.2517 0.5415
0.7992 0.3056 0.0063
0.7992 0.7929 0.4937
```

This record from Alexandria describes a geometry-optimized LiMn2Ga2 structure. The functional is GGA-PBE.

Results
Its space group is P4/mbm. As for the volume: 143.4 Å³/cell. Its total magnetization is 0.09 μB/f.u. As for the density of states at the Fermi level: 4.78 states/eV/cell. The relative energy among the computed polymorphs is 0.000 eV per atom.

Structure (POSCAR):
```
LiMn2Ga2
1.0
7.3471 0.0000 0.0000
0.0000 7.3471 0.0000
0.0000 0.0000 2.6559
Li Mn Ga
2 4 4
direct
0.0000 0.0000 0.0000
0.5000 0.5000 0.0000
0.0993 0.4007 0.0000
0.4007 0.9007 0.0000
0.5993 0.0993 0.0000
0.9007 0.5993 0.0000
0.1896 0.6896 0.5000
0.3104 0.1896 0.5000
0.6896 0.8104 0.5000
0.8104 0.3104 0.5000
```

This record from Alexandria describes a geometry-optimized MnCo2AgN structure. The functional is GGA-PBE.

Results
Its space group is P4/mmm. As for the volume: 58.5 Å³/cell. Its total magnetization is 5.91 μB/f.u. As for the density of states at the Fermi level: 4.70 states/eV/cell. Its formation energy (no corrections) is 0.021 eV per atom.

Structure (POSCAR):
```
MnCo2AgN
1.0
3.8447 0.0000 0.0000
0.0000 3.8447 0.0000
0.0000 0.0000 3.9593
Mn Co Ag N
1 2 1 1
direct
0.0000 0.0000 0.0000
0.0000 0.5000 0.5000
0.5000 0.0000 0.5000
0.5000 0.5000 0.0000
0.0000 0.0000 0.5000
```

no.,VASP energy (eV for the cell shown)
1,-12.3
2,-79.3
3,-52.7
4,-34.5